Record 1
10
Lattice="1.4834 -6.0196 0.0000 1.4834 6.0196 0.0000 0.0000 0.0000 6.5247" Properties=species:S:1:pos:R:3 comment="TiCr2PC (GGA-PBE, relaxed)" n_ef_per_ev_fu=3.36 magnetic_moment_mub_per_cell=0.0 delta_e_f_ev_per_atom=-0.470 dft_energy_ev_per_atom=-8.82 pbc="T T T"
Ti 1.4834 5.7725 4.8935
Ti 1.4834 -5.7725 1.6312
Cr 1.4834 1.8584 3.6202
Cr 1.4834 1.8584 6.1668
Cr 1.4834 -1.8584 0.3579
Cr 1.4834 -1.8584 2.9045
P 1.4834 2.9081 1.6312
P 1.4834 -2.9081 4.8935
C 1.4834 0.0000 0.0000
C 1.4834 0.0000 3.2623

Record 2
10
Lattice="1.6961 -5.3892 0.0000 1.6961 5.3892 0.0000 0.0000 0.0000 7.2353" Properties=species:S:1:pos:R:3 comment="UCr2PC (GGA-PBE, relaxed)" n_ef_per_ev_fu=6.61 magnetic_moment_mub_per_cell=2.2 delta_e_f_ev_per_atom=-0.494 dft_energy_ev_per_atom=-9.53 pbc="T T T"
U 1.6961 5.0086 5.4264
U 1.6961 -5.0086 1.8088
Cr 1.6961 1.8643 4.0367
Cr 1.6961 1.8643 6.8162
Cr 1.6961 -1.8643 0.4190
Cr 1.6961 -1.8643 3.1986
P 1.6961 2.7508 1.8088
P 1.6961 -2.7508 5.4264
C 1.6961 0.0000 0.0000
C 1.6961 0.0000 3.6176

Record 3
10
Lattice="1.7812 -5.1844 0.0000 1.7812 5.1844 0.0000 0.0000 0.0000 6.8414" Properties=species:S:1:pos:R:3 comment="ZrCr2PC (GGA-PBE, relaxed)" n_ef_per_ev_fu=3.52 magnetic_moment_mub_per_cell=0.0 delta_e_f_ev_per_atom=-0.609 dft_energy_ev_per_atom=-9.09 pbc="T T T"
Zr 1.7812 4.7831 5.1310
Zr 1.7812 -4.7831 1.7103
Cr 1.7812 1.8190 3.8338
Cr 1.7812 1.8190 6.4282
Cr 1.7812 -1.8190 0.4132
Cr 1.7812 -1.8190 3.0075
P 1.7812 2.7078 1.7103
P 1.7812 -2.7078 5.1310
C 1.7812 0.0000 0.0000
C 1.7812 0.0000 3.4207

Record 4
4
Lattice="1.6165 0.9333 5.2633 -1.6165 0.9333 5.2633 0.0000 -1.8666 5.2633" Properties=species:S:1:pos:R:3 comment="PaCrC2 (GGA-PBE, relaxed)" n_ef_per_ev_fu=3.21 magnetic_moment_mub_per_cell=0.3 delta_e_f_ev_per_atom=-0.042 dft_energy_ev_per_atom=-9.43 pbc="T T T"
Pa 0.0000 0.0000 0.0000
Cr 0.0000 0.0000 7.8949
C 0.0000 0.0000 3.6853
C 0.0000 0.0000 12.1046

Record 5
16
Lattice="5.5829 0.0000 0.0000 0.0000 3.2858 0.0000 0.0000 0.0000 10.6103" Properties=species:S:1:pos:R:3 comment="PaCrC2 (GGA-PBE, relaxed)" n_ef_per_ev_fu=2.78 magnetic_moment_mub_per_cell=0.0 delta_e_f_ev_per_atom=-0.289 dft_energy_ev_per_atom=-9.68 pbc="T T T"
Pa 0.4548 0.8215 1.5057
Pa 2.3367 2.4644 6.8109
Pa 3.2462 0.8215 3.7994
Pa 5.1282 2.4644 9.1046
Cr 0.4355 2.4644 4.2604
Cr 2.3559 0.8215 9.5656
Cr 3.2270 2.4644 1.0447
Cr 5.1474 0.8215 6.3499
C 0.9260 0.8215 7.9849
C 1.2199 0.8215 5.1543
C 1.5716 2.4644 10.4594
C 1.8655 2.4644 2.6797
C 3.7174 0.8215 7.9306
C 4.0114 0.8215 0.1509
C 4.3630 2.4644 5.4560
C 4.6570 2.4644 2.6254

Record 6
7
Lattice="5.8729 -1.5933 0.0000 5.8729 1.5933 0.0000 -2.3743 0.0000 4.8708" Properties=species:S:1:pos:R:3 comment="Pa2Cr2C3 (GGA-PBE, relaxed)" n_ef_per_ev_fu=6.74 magnetic_moment_mub_per_cell=0.0 delta_e_f_ev_per_atom=-0.355 dft_energy_ev_per_atom=-9.77 pbc="T T T"
Pa 0.4498 0.0000 1.4162
Pa 8.9217 0.0000 3.4546
Cr 3.5659 0.0000 0.8312
Cr 5.8056 0.0000 4.0395
C 1.1048 0.0000 3.6919
C 4.6857 0.0000 2.4354
C 8.2667 0.0000 1.1789

Record 7
16
Lattice="1.7862 -5.8480 0.0000 1.7862 5.8480 0.0000 0.0000 0.0000 12.1023" Properties=species:S:1:pos:R:3 comment="PmPa2CrC4 (GGA-PBE, relaxed)" n_ef_per_ev_fu=6.02 magnetic_moment_mub_per_cell=2.9 delta_e_f_ev_per_atom=-0.182 dft_energy_ev_per_atom=-8.96 pbc="T T T"
Pm 1.7862 4.6188 9.0767
Pm 1.7862 -4.6188 3.0256
Pa 1.7862 1.5507 6.6303
Pa 1.7862 1.5507 11.5232
Pa 1.7862 -1.5507 0.5791
Pa 1.7862 -1.5507 5.4720
Cr 1.7862 3.9261 3.0256
Cr 1.7862 -3.9261 9.0767
C 0.0000 0.0000 0.0000
C 0.0000 0.0000 6.0511
C 1.7862 2.7911 1.5408
C 1.7862 2.7911 4.5103
C 1.7862 1.0595 9.0767
C 1.7862 -1.0595 3.0256
C 1.7862 -2.7911 7.5920
C 1.7862 -2.7911 10.5615

Record 8
16
Lattice="1.7930 -5.9113 0.0000 1.7930 5.9113 0.0000 0.0000 0.0000 12.1027" Properties=species:S:1:pos:R:3 comment="PrPa2CrC4 (GGA-PBE, relaxed)" n_ef_per_ev_fu=6.21 magnetic_moment_mub_per_cell=2.7 delta_e_f_ev_per_atom=-0.181 dft_energy_ev_per_atom=-8.97 pbc="T T T"
Pr 1.7930 4.6981 9.0771
Pr 1.7930 -4.6981 3.0257
Pa 1.7930 1.5650 6.6325
Pa 1.7930 1.5650 11.5216
Pa 1.7930 -1.5650 0.5811
Pa 1.7930 -1.5650 5.4703
Cr 1.7930 3.9504 3.0257
Cr 1.7930 -3.9504 9.0771
C 0.0000 0.0000 0.0000
C 0.0000 0.0000 6.0514
C 1.7930 2.8477 1.5188
C 1.7930 2.8477 4.5325
C 1.7930 1.1102 9.0771
C 1.7930 -1.1102 3.0257
C 1.7930 -2.8477 7.5702
C 1.7930 -2.8477 10.5839

Record 9
16
Lattice="1.7510 -5.7976 0.0000 1.7510 5.7976 0.0000 0.0000 0.0000 12.1161" Properties=species:S:1:pos:R:3 comment="PuPa2CrC4 (GGA-PBE, relaxed)" n_ef_per_ev_fu=9.18 magnetic_moment_mub_per_cell=11.9 delta_e_f_ev_per_atom=-0.099 dft_energy_ev_per_atom=-10.08 pbc="T T T"
Pu 1.7510 4.6074 9.0870
Pu 1.7510 -4.6074 3.0290
Pa 1.7510 1.5475 6.6269
Pa 1.7510 1.5475 11.5472
Pa 1.7510 -1.5475 0.5689
Pa 1.7510 -1.5475 5.4891
Cr 1.7510 3.8982 3.0290
Cr 1.7510 -3.8982 9.0870
C 0.0000 0.0000 0.0000
C 0.0000 0.0000 6.0580
C 1.7510 2.7186 1.5948
C 1.7510 2.7186 4.4633
C 1.7510 0.9798 9.0870
C 1.7510 -0.9798 3.0290
C 1.7510 -2.7186 7.6528
C 1.7510 -2.7186 10.5213

Record 10
12
Lattice="7.0311 0.0000 0.0000 0.0000 3.4293 0.0000 -1.3646 0.0000 7.2072" Properties=species:S:1:pos:R:3 comment="ScPaCrC3 (GGA-PBE, relaxed)" n_ef_per_ev_fu=4.34 magnetic_moment_mub_per_cell=0.0 delta_e_f_ev_per_atom=-0.137 dft_energy_ev_per_atom=-8.99 pbc="T T T"
Sc 0.7860 0.8573 1.1367
Sc 4.8805 2.5720 6.0705
Pa 1.1289 2.5720 5.8172
Pa 4.5376 0.8573 1.3900
Cr 2.2776 2.5720 2.8814
Cr 3.3889 0.8573 4.3258
C -0.4269 0.8573 6.0884
C 1.6407 0.8573 3.4930
C 2.5772 2.5720 1.0627
C 3.0893 0.8573 6.1446
C 4.0258 2.5720 3.7142
C 6.0934 2.5720 1.1189

Record 11
9
Lattice="6.2787 -1.5939 0.0000 6.2787 1.5939 0.0000 -2.0981 0.0000 5.3616" Properties=species:S:1:pos:R:3 comment="Sc2PaCr2C4 (GGA-PBE, relaxed)" n_ef_per_ev_fu=6.23 magnetic_moment_mub_per_cell=0.0 delta_e_f_ev_per_atom=-0.227 dft_energy_ev_per_atom=-8.93 pbc="T T T"
Sc 1.7365 0.0000 0.2469
Sc 8.7229 0.0000 5.1147
Pa -1.0490 0.0000 2.6808
Cr 2.9861 0.0000 2.8179
Cr 7.4733 0.0000 2.5437
C 1.2606 0.0000 3.8701
C 4.2924 0.0000 4.6326
C 6.1670 0.0000 0.7291
C 9.1987 0.0000 1.4915

Record 12
10
Lattice="1.7471 -5.4379 0.0000 1.7471 5.4379 0.0000 0.0000 0.0000 7.4038" Properties=species:S:1:pos:R:3 comment="PaCr2SiC (GGA-PBE, relaxed)" n_ef_per_ev_fu=4.27 formation_energy_uncorrected_ev_per_fu=-2.03 magnetic_moment_mub_per_cell=0.0 dft_energy_ev_per_atom=-9.08 pbc="T T T"
Pa 1.7471 5.0577 5.5529
Pa 1.7471 -5.0577 1.8510
Cr 1.7471 1.8800 4.1119
Cr 1.7471 1.8800 6.9938
Cr 1.7471 -1.8800 0.4100
Cr 1.7471 -1.8800 3.2919
Si 1.7471 2.7870 1.8510
Si 1.7471 -2.7870 5.5529
C 1.7471 0.0000 0.0000
C 1.7471 0.0000 3.7019